## Ba2ErAlSe5 (PBE)

Data for Ba2ErAlSe5 after structural relaxation.

Formation energy from raw total energies in eV per atom: -1.724
Density of states at the Fermi level in states/eV/f.u.: 0.0

Lattice parameters (Å, degrees): 4.2100 9.7568 13.5224 90.00 90.00 102.46
Fractional coordinates of all 18 atoms:
Er: 0.2049 0.4097 0.0278
Se: 0.0467 0.0935 0.0273
Al: 0.5618 0.1235 0.9277
Ba: 0.8787 0.7575 0.1859
Er: 0.7951 0.5903 0.5278
Se: 0.4991 0.9983 0.2761
Se: 0.3484 0.6968 0.0080
Se: 0.6854 0.3708 0.8786
Se: 0.3146 0.6292 0.3786
Se: 0.6516 0.3032 0.5080
Ba: 0.8731 0.7463 0.8263
Se: 0.7029 0.4059 0.1663
Se: 0.5009 0.0017 0.7761
Al: 0.4382 0.8765 0.4277
Se: 0.9533 0.9065 0.5273
Se: 0.2971 0.5941 0.6663
Ba: 0.1269 0.2537 0.3263
Ba: 0.1213 0.2425 0.6859

=====

## CrCoRh (PBE)

Data for CrCoRh after structural relaxation.

Energy above the lowest structure with this stoichiometry in meV/atom: 33
Energy of formation in kJ/mol of formula units: 7
Density of states at the Fermi level in states/eV/f.u.: 4.6

Lattice parameters (Å, degrees): 5.6583 5.6581 2.6042 76.70 76.69 26.61
Fractional coordinates of all 3 atoms:
Co: 0.9907 0.9907 0.0093
Rh: 0.6690 0.6690 0.3310
Cr: 0.3403 0.3403 0.6597

=====

## LaPrYHg (PBE)

Data for LaPrYHg after structural relaxation.

Energy above the lowest structure with this stoichiometry in meV/atom: 0
Energy of formation in kJ/mol of formula units: -91
Density of states at the Fermi level in states/eV/f.u.: 5.5

Lattice parameters (Å, degrees): 3.7506 3.7506 8.9032 90.00 90.00 90.00
Fractional coordinates of all 4 atoms:
La: 0.0000 0.0000 0.0784
Pr: 0.5000 0.5000 0.7906
Y: 0.5000 0.5000 0.3589
Hg: 0.0000 0.0000 0.5568

=====

## Tb4Ga6Rh7 (PBE)

Data for Tb4Ga6Rh7 after structural relaxation.

Energy of formation in kJ/mol of formula units: -1362
Density of states at the Fermi level in states/eV/f.u.: 10.6

Lattice parameters (Å, degrees): 7.3099 7.3099 7.3099 109.47 109.47 109.47
Fractional coordinates of all 17 atoms:
Rh: 0.2500 0.7500 0.5000
Tb: 0.0000 0.0000 0.5000
Rh: 0.7500 0.5000 0.2500
Rh: 0.5000 0.2500 0.7500
Rh: 0.0000 0.0000 0.0000
Ga: 0.3182 0.3182 0.0000
Tb: 0.5000 0.5000 0.5000
Ga: 0.3182 0.0000 0.3182
Ga: 0.6818 0.0000 0.6818
Tb: 0.0000 0.5000 0.0000
Ga: 0.6818 0.6818 0.0000
Rh: 0.7500 0.2500 0.5000
Rh: 0.5000 0.7500 0.2500
Rh: 0.2500 0.5000 0.7500
Tb: 0.5000 0.0000 0.0000
Ga: 0.0000 0.3182 0.3182
Ga: 0.0000 0.6818 0.6818

=====

## In2C2I (PBE)

Data for In2C2I after structural relaxation.

Formation energy from raw total energies in eV per atom: 1.439
Energy above the lowest structure with this stoichiometry in meV/atom: 558
Density of states at the Fermi level in states/eV/f.u.: 3.0

Lattice parameters (Å, degrees): 4.0800 4.0800 7.4537 74.12 74.12 90.00
Fractional coordinates of all 5 atoms:
I: 0.0000 0.0000 0.0000
C: 0.7500 0.2500 0.5000
C: 0.2500 0.7500 0.5000
In: 0.6761 0.6761 0.6479
In: 0.3239 0.3239 0.3521

=====

## Ho4ScTl2 (PBE)

Data for Ho4ScTl2 after structural relaxation.

Energy above the lowest structure with this stoichiometry in meV/atom: 0
Energy of formation in kJ/mol of formula units: 31
Density of states at the Fermi level in states/eV/f.u.: 11.5

Lattice parameters (Å, degrees): 5.4022 5.4022 9.1619 72.85 72.85 60.00
Each line ends with the local moment (μB).
Fractional coordinates of all 7 atoms:
Ho: 0.7321 0.7321 0.8038  0.12
Tl: 0.3875 0.3875 0.8376  0.03
Ho: 0.8689 0.8689 0.3932  0.22
Ho: 0.1311 0.1311 0.6068  0.22
Ho: 0.2679 0.2679 0.1962  0.12
Sc: 0.5000 0.5000 0.5000  0.28
Tl: 0.6125 0.6125 0.1624  0.03

=====

## Tb6Pm8Ho (PBE)

Data for Tb6Pm8Ho after structural relaxation.

Energy of formation in kJ/mol of formula units: 250
Density of states at the Fermi level in states/eV/f.u.: 23.1

Lattice parameters (Å, degrees): 6.5852 9.4273 9.4273 120.00 90.00 90.00
Fractional coordinates of all 15 atoms:
Pm: 0.8821 0.3333 0.6667
Ho: 0.5000 0.0000 0.0000
Pm: 0.8348 0.0332 0.2845
Pm: 0.1179 0.6667 0.3333
Pm: 0.8348 0.2513 0.9668
Pm: 0.8348 0.7155 0.7487
Tb: 0.6584 0.9094 0.5645
Tb: 0.6584 0.6551 0.0906
Tb: 0.6584 0.4355 0.3449
Tb: 0.3416 0.3449 0.9094
Tb: 0.3416 0.5645 0.6551
Pm: 0.1652 0.9668 0.7155
Pm: 0.1652 0.2845 0.2513
Pm: 0.1652 0.7487 0.0332
Tb: 0.3416 0.0906 0.4355

=====

## KV3B (PBE)

Data for KV3B after structural relaxation.

Energy above the lowest structure with this stoichiometry in meV/atom: 1913
Energy of formation in kJ/mol of formula units: 1445
Density of states at the Fermi level in states/eV/f.u.: 2.7

Lattice parameters (Å, degrees): 4.1584 4.1584 4.1584 90.00 90.00 90.00
Fractional coordinates of all 5 atoms:
V: 0.5000 0.0000 0.0000
V: 0.0000 0.0000 0.5000
K: 0.0000 0.0000 0.0000
B: 0.5000 0.5000 0.5000
V: 0.0000 0.5000 0.0000

=====

## TaB2O2 (PBE)

Data for TaB2O2 after structural relaxation.

Formation energy from raw total energies in eV per atom: -0.311
Energy above the lowest structure with this stoichiometry in meV/atom: 504
Density of states at the Fermi level in states/eV/f.u.: 2.4

Lattice parameters (Å, degrees): 6.6812 6.6812 2.4545 90.00 90.00 90.00
Fractional coordinates of all 10 atoms:
O: 0.3284 0.8284 0.5000
O: 0.8284 0.6716 0.5000
B: 0.5873 0.0873 0.0000
Ta: 0.5000 0.5000 0.0000
O: 0.6716 0.1716 0.5000
Ta: 0.0000 0.0000 0.0000
B: 0.9127 0.5873 0.0000
O: 0.1716 0.3284 0.5000
B: 0.0873 0.4127 0.0000
B: 0.4127 0.9127 0.0000

=====

## Hf3Ti4P4 (PBE)

Data for Hf3Ti4P4 after structural relaxation.

Energy of formation in kJ/mol of formula units: -1138
Density of states at the Fermi level in states/eV/f.u.: 6.8

Lattice parameters (Å, degrees): 3.4484 7.4635 8.0563 117.59 102.36 90.00
Fractional coordinates of all 11 atoms:
P: 0.2460 0.7460 0.4919
Ti: 0.6712 0.4821 0.3425
Hf: 0.1096 0.1096 0.2191
Ti: 0.3288 0.5179 0.6575
Ti: 0.6712 0.8604 0.3425
P: 0.5000 0.2034 0.0000
P: 0.5000 0.7966 0.0000
Ti: 0.3288 0.1396 0.6575
P: 0.7540 0.2540 0.5081
Hf: 0.0000 0.5000 0.0000
Hf: 0.8904 0.8904 0.7809

=====

## Fe2CuAs (PBE)

Data for Fe2CuAs after structural relaxation.

Energy of formation in kJ/mol of formula units: 38
Density of states at the Fermi level in states/eV/f.u.: 3.5

Lattice parameters (Å, degrees): 4.6137 4.6137 4.6137 133.27 133.27 68.22
Each line ends with the local moment (μB).
Fractional coordinates of all 4 atoms:
Fe: 0.5000 0.5000 0.0000  2.59
As: 0.2500 0.7500 0.5000  0.01
Fe: 0.0000 0.0000 0.0000  2.59
Cu: 0.7500 0.2500 0.5000  0.08

=====

## B3OsRh (PBE)

Data for B3OsRh after structural relaxation.

Energy above the lowest structure with this stoichiometry in meV/atom: 0
Energy of formation in kJ/mol of formula units: 532
Density of states at the Fermi level in states/eV/f.u.: 4.3

Lattice parameters (Å, degrees): 4.0301 4.0301 4.0301 90.00 90.00 90.00
Each line ends with the local moment (μB).
Fractional coordinates of all 5 atoms:
Os: 0.0000 0.0000 0.0000  0.05
B: 0.0000 0.0000 0.5000  0.03
B: 0.5000 0.0000 0.0000  0.01
Rh: 0.5000 0.5000 0.5000  0.58
B: 0.0000 0.5000 0.0000  0.04

=====

> Among the records above, which one has the highest density of states at the Fermi level?

Tb6Pm8Ho